Record 1
First-principles (PBE) data for a relaxed structure of BaBiRh3, as listed in Alexandria via LeMat-Bulk.

Cell lengths 5.0869, 5.0869, 5.0869 Å; angles 90.00, 90.00, 90.00 degrees
Positions (direct):
1 Ba 0.0000 0.0000 0.0000
2 Bi 0.5000 0.5000 0.5000
3 Rh 0.0000 0.0000 0.5000
4 Rh 0.0000 0.5000 0.0000
5 Rh 0.5000 0.0000 0.0000

Calculated total energy ... -4.11 eV per atom

=====

Record 2
First-principles (PBE) data for a relaxed structure of BaBi3Rh3, as listed in Alexandria via LeMat-Bulk.

Cell lengths 9.0532, 9.0532, 9.0532 Å; angles 49.83, 49.83, 49.83 degrees
Positions (direct):
1 Ba 0.1565 0.1565 0.1565
2 Ba 0.8435 0.8435 0.8435
3 Bi 0.0828 0.4529 0.6624
4 Bi 0.3376 0.9172 0.5471
5 Bi 0.4529 0.6624 0.0828
6 Bi 0.5471 0.3376 0.9172
7 Bi 0.6624 0.0828 0.4529
8 Bi 0.9172 0.5471 0.3376
9 Rh 0.0343 0.7819 0.3105
10 Rh 0.2181 0.6895 0.9657
11 Rh 0.3105 0.0343 0.7819
12 Rh 0.6895 0.9657 0.2181
13 Rh 0.7819 0.3105 0.0343
14 Rh 0.9657 0.2181 0.6895

Calculated total energy ... -5.28 eV per atom

=====

Number 1: formation energy from the elements 1.465 eV per atom, offset from the most stable computed form 1089 meV/atom, M_tot 0.000 Bohr magnetons per cell. Number 2: formation energy from the elements -0.189 eV per atom, offset from the most stable computed form 0 meV/atom, M_tot 0.000 Bohr magnetons per cell.